A plane-wave DFT calculation with GGA+U was carried out for a geometry-optimized Ac2PaCr3O12 structure.

E_tot (eV/atom): -7.84
N(E_F) (states/eV/cell): 17.52
Calculated density (kg/m3): 7632

The structure in CIF format:
```
data_Ac2PaCr3O12
_space_group_name_H-M_alt 'R -3 m'
_space_group_IT_number 166
_space_group_name_Hall '-R 3 2"'
_cell_length_a 7.0710
_cell_length_b 7.0710
_cell_length_c 15.5714
_cell_angle_alpha 90.00
_cell_angle_beta 90.00
_cell_angle_gamma 120.00
loop_
_atom_site_label
_atom_site_fract_x
_atom_site_fract_y
_atom_site_fract_z
Ac1 0.0000 0.0000 0.1123
Pa1 0.0000 0.0000 0.5000
Cr1 0.0000 0.5000 0.0000
O1 0.0389 0.5195 0.8791
O2 0.0708 0.5354 0.3071
```